# InRhSeBr2

An optimized crystal structure of InRhSeBr2 (PBE, the Alexandria database).

- size of the total moment (μB/cell) = 0.00
- space group = P4/mmm
- calculated total energy (eV per atom) = -3.557
- energy above the lowest structure with this stoichiometry (eV/f.u.) = 0.000
- formation energy from raw total energies (meV/atom) = -173.1

Lattice parameters (Å, degrees): 5.363 5.363 4.725 90.00 90.00 90.00
Atoms (fractional coordinates):
Rh 0.000 0.000 0.000
Se 0.000 0.000 0.500
In 0.500 0.500 0.500
Br 0.500 0.000 0.000
Br 0.000 0.500 0.000


# Sr2InRhBr

An optimized crystal structure of Sr2InRhBr (PBE, the Alexandria database).

- size of the total moment (μB/cell) = 0.00
- space group = P4/mmm
- calculated total energy (eV per atom) = -3.727
- formation energy from raw total energies (meV/atom) = -702.0

Lattice parameters (Å, degrees): 5.845 5.845 5.093 90.00 90.00 90.00
Atoms (fractional coordinates):
Br 0.500 0.500 0.500
In 0.000 0.000 0.500
Sr 0.000 0.500 0.000
Sr 0.500 0.000 0.000
Rh 0.000 0.000 0.000


# In2TeRhBr

An optimized crystal structure of In2TeRhBr (PBE, the Alexandria database).

- size of the total moment (μB/cell) = 0.00
- space group = P4/mmm
- calculated total energy (eV per atom) = -3.250
- formation energy from raw total energies (meV/atom) = 278.9

Lattice parameters (Å, degrees): 6.039 6.039 4.857 90.00 90.00 90.00
Atoms (fractional coordinates):
In 0.000 0.500 0.000
In 0.500 0.000 0.000
Br 0.500 0.500 0.500
Rh 0.000 0.000 0.500
Te 0.000 0.000 0.000


# TlIn2RhBr

An optimized crystal structure of TlIn2RhBr (PBE, the Alexandria database).

- size of the total moment (μB/cell) = 0.00
- space group = P4/mmm
- calculated total energy (eV per atom) = -3.778
- formation energy from raw total energies (meV/atom) = -404.8

Lattice parameters (Å, degrees): 5.214 5.214 5.334 90.00 90.00 90.00
Atoms (fractional coordinates):
Rh 0.000 0.000 0.000
Tl 0.000 0.000 0.500
In 0.000 0.500 0.000
In 0.500 0.000 0.000
Br 0.500 0.500 0.500


# Tl2InRhBr

An optimized crystal structure of Tl2InRhBr (PBE, the Alexandria database).

- size of the total moment (μB/cell) = 0.00
- space group = P4/mmm
- calculated total energy (eV per atom) = -3.674
- formation energy from raw total energies (meV/atom) = -374.8

Lattice parameters (Å, degrees): 5.333 5.333 5.218 90.00 90.00 90.00
Atoms (fractional coordinates):
Tl 0.500 0.000 0.000
Tl 0.000 0.500 0.000
Br 0.500 0.500 0.500
In 0.000 0.000 0.500
Rh 0.000 0.000 0.000


# InRuBr

An optimized crystal structure of InRuBr (PBE, the Alexandria database).

- size of the total moment (μB/cell) = 0.94
- space group = P3m1
- calculated total energy (eV per atom) = -4.207
- energy above the lowest structure with this stoichiometry (eV/f.u.) = 0.000
- formation energy from raw total energies (meV/atom) = 355.4

Lattice parameters (Å, degrees): 3.423 3.423 6.156 90.00 90.00 120.00
Each line ends with the local moment (μB).
Atoms (fractional coordinates):
Ru 0.667 0.333 0.667  0.86
In 0.333 0.667 0.365  -0.02
Br 0.000 0.000 0.968  0.08


# InRuBr

An optimized crystal structure of InRuBr (PBE, the Alexandria database).

- size of the total moment (μB/cell) = 0.00
- space group = F-43m
- calculated total energy (eV per atom) = -4.009
- energy above the lowest structure with this stoichiometry (eV/f.u.) = 0.595
- formation energy from raw total energies (meV/atom) = 553.6

Lattice parameters (Å, degrees): 4.540 4.540 4.540 60.00 60.00 60.00
Atoms (fractional coordinates):
In 0.500 0.500 0.500
Ru 0.750 0.750 0.750
Br 0.000 0.000 0.000


# InRuBr

An optimized crystal structure of InRuBr (PBE, the Alexandria database).

- size of the total moment (μB/cell) = 0.00
- space group = P-6m2
- calculated total energy (eV per atom) = -4.065
- energy above the lowest structure with this stoichiometry (eV/f.u.) = 0.425
- formation energy from raw total energies (meV/atom) = 497.1

Lattice parameters (Å, degrees): 4.524 4.524 3.328 90.00 90.00 120.00
Atoms (fractional coordinates):
In 0.333 0.667 0.333
Br 0.000 0.000 0.834
Ru 0.667 0.333 0.833


# InRuBr3

An optimized crystal structure of InRuBr3 (PBE, the Alexandria database).

- size of the total moment (μB/cell) = 1.60
- space group = Pm-3m
- calculated total energy (eV per atom) = -3.511
- energy above the lowest structure with this stoichiometry (eV/f.u.) = 0.000
- formation energy from raw total energies (meV/atom) = -104.8

Lattice parameters (Å, degrees): 5.191 5.191 5.191 90.00 90.00 90.00
Each line ends with the local moment (μB).
Atoms (fractional coordinates):
Br 0.500 0.000 0.000  0.08
Br 0.000 0.500 0.000  0.03
Br 0.000 0.000 0.500  0.03
In 0.500 0.500 0.500  0.01
Ru 0.000 0.000 0.000  1.31


# InRuBr

An optimized crystal structure of InRuBr (PBE, the Alexandria database).

- size of the total moment (μB/cell) = 0.88
- space group = I4mm
- calculated total energy (eV per atom) = -4.148
- energy above the lowest structure with this stoichiometry (eV/f.u.) = 0.177
- formation energy from raw total energies (meV/atom) = 414.3

Lattice parameters (Å, degrees): 6.362 6.362 6.362 149.90 149.90 43.08
Each line ends with the local moment (μB).
Atoms (fractional coordinates):
Ru 0.677 0.677 0.000  0.77
In 0.297 0.297 0.000  -0.03
Br 0.026 0.026 0.000  0.09


# InRuBr

An optimized crystal structure of InRuBr (PBE, the Alexandria database).

- size of the total moment (μB/cell) = 0.00
- space group = Fmm2
- calculated total energy (eV per atom) = -4.047
- energy above the lowest structure with this stoichiometry (eV/f.u.) = 0.480
- formation energy from raw total energies (meV/atom) = 515.4

Lattice parameters (Å, degrees): 7.485 7.092 3.291 83.73 70.36 25.92
Atoms (fractional coordinates):
Ru 0.661 0.661 0.339
In 0.320 0.320 0.680
Br 0.019 0.019 0.981


# InRu2SBr

An optimized crystal structure of InRu2SBr (PBE, the Alexandria database).

- size of the total moment (μB/cell) = 2.26
- space group = P4/mmm
- calculated total energy (eV per atom) = -4.838
- formation energy from raw total energies (meV/atom) = 580.4

Lattice parameters (Å, degrees): 4.350 6.904 4.350 90.00 90.00 90.00
Each line ends with the local moment (μB).
Atoms (fractional coordinates):
S 0.000 0.000 0.000  -0.03
Ru 0.000 0.000 0.500  0.79
Ru 0.500 0.000 0.000  1.23
Br 0.500 0.500 0.500  0.05
In 0.000 0.500 0.000  0.01


# In2SbRuBr

An optimized crystal structure of In2SbRuBr (PBE, the Alexandria database).

- size of the total moment (μB/cell) = 0.00
- space group = P4/mmm
- calculated total energy (eV per atom) = -4.352
- formation energy from raw total energies (meV/atom) = -242.1

Lattice parameters (Å, degrees): 5.296 5.296 4.931 90.00 90.00 90.00
Atoms (fractional coordinates):
In 0.000 0.500 0.000
In 0.500 0.000 0.000
Br 0.500 0.500 0.500
Ru 0.000 0.000 0.000
Sb 0.000 0.000 0.500


# InRuSeBr2

An optimized crystal structure of InRuSeBr2 (PBE, the Alexandria database).

- size of the total moment (μB/cell) = 3.32
- space group = P4/mmm
- calculated total energy (eV per atom) = -3.052
- energy above the lowest structure with this stoichiometry (eV/f.u.) = 3.912
- formation energy from raw total energies (meV/atom) = 716.7

Lattice parameters (Å, degrees): 5.371 5.371 5.283 90.00 90.00 90.00
Each line ends with the local moment (μB).
Atoms (fractional coordinates):
Br 0.500 0.000 0.000  0.04
Br 0.000 0.500 0.000  0.04
In 0.000 0.000 0.000  0.00
Se 0.000 0.000 0.500  0.07
Ru 0.500 0.500 0.500  2.80


# InRuSe2Br

An optimized crystal structure of InRuSe2Br (PBE, the Alexandria database).

- size of the total moment (μB/cell) = 0.00
- space group = P4/mmm
- calculated total energy (eV per atom) = -4.080
- energy above the lowest structure with this stoichiometry (eV/f.u.) = 0.000
- formation energy from raw total energies (meV/atom) = 51.1

Lattice parameters (Å, degrees): 4.857 4.857 5.444 90.00 90.00 90.00
Atoms (fractional coordinates):
Ru 0.000 0.000 0.000
Se 0.000 0.500 0.000
Se 0.500 0.000 0.000
Br 0.000 0.000 0.500
In 0.500 0.500 0.500


# InRuSeBr2

An optimized crystal structure of InRuSeBr2 (PBE, the Alexandria database).

- size of the total moment (μB/cell) = 0.00
- space group = P4/mmm
- calculated total energy (eV per atom) = -3.835
- energy above the lowest structure with this stoichiometry (eV/f.u.) = 0.000
- formation energy from raw total energies (meV/atom) = -65.6

Lattice parameters (Å, degrees): 5.284 5.284 4.607 90.00 90.00 90.00
Atoms (fractional coordinates):
Br 0.500 0.000 0.000
Br 0.000 0.500 0.000
Se 0.000 0.000 0.500
In 0.500 0.500 0.500
Ru 0.000 0.000 0.000


# InSn2RuBr

An optimized crystal structure of InSn2RuBr (PBE, the Alexandria database).

- size of the total moment (μB/cell) = 0.00
- space group = P4/mmm
- calculated total energy (eV per atom) = -4.645
- formation energy from raw total energies (meV/atom) = -306.2

Lattice parameters (Å, degrees): 5.102 5.102 5.282 90.00 90.00 90.00
Atoms (fractional coordinates):
Sn 0.000 0.500 0.000
Sn 0.500 0.000 0.000
Br 0.500 0.500 0.500
In 0.000 0.000 0.500
Ru 0.000 0.000 0.000


# In2SnRuBr

An optimized crystal structure of In2SnRuBr (PBE, the Alexandria database).

- size of the total moment (μB/cell) = 0.00
- space group = P4/mmm
- calculated total energy (eV per atom) = -4.324
- formation energy from raw total energies (meV/atom) = -238.7

Lattice parameters (Å, degrees): 5.237 5.237 5.091 90.00 90.00 90.00
Atoms (fractional coordinates):
In 0.500 0.000 0.000
In 0.000 0.500 0.000
Ru 0.000 0.000 0.000
Br 0.500 0.500 0.500
Sn 0.000 0.000 0.500


# SrInRu2Br

An optimized crystal structure of SrInRu2Br (PBE, the Alexandria database).

- size of the total moment (μB/cell) = 3.51
- space group = P4/mmm
- calculated total energy (eV per atom) = -4.073
- formation energy from raw total energies (meV/atom) = 855.5

Lattice parameters (Å, degrees): 5.021 5.965 5.021 90.00 90.00 90.00
Each line ends with the local moment (μB).
Atoms (fractional coordinates):
In 0.000 0.000 0.000  -0.04
Ru 0.000 0.000 0.500  1.72
Ru 0.500 0.000 0.000  1.54
Sr 0.500 0.500 0.500  -0.02
Br 0.000 0.500 0.000  0.05


# ZnInRuBr2

An optimized crystal structure of ZnInRuBr2 (PBE, the Alexandria database).

- size of the total moment (μB/cell) = 3.09
- space group = P4/mmm
- calculated total energy (eV per atom) = -2.452
- formation energy from raw total energies (meV/atom) = 875.1

Lattice parameters (Å, degrees): 5.848 5.069 5.848 90.00 90.00 90.00
Each line ends with the local moment (μB).
Atoms (fractional coordinates):
Br 0.500 0.000 0.000  0.01
Br 0.000 0.000 0.500  0.02
In 0.000 0.000 0.000  0.00
Ru 0.500 0.500 0.500  2.66
Zn 0.000 0.500 0.000  0.00


# InSBr2

An optimized crystal structure of InSBr2 (PBE, the Alexandria database).

- size of the total moment (μB/cell) = 0.00
- space group = P1
- calculated total energy (eV per atom) = -3.020
- energy above the lowest structure with this stoichiometry (eV/f.u.) = 0.551
- formation energy from raw total energies (meV/atom) = -466.7

Lattice parameters (Å, degrees): 6.822 7.314 8.079 97.60 110.04 116.67
Atoms (fractional coordinates):
In 0.911 0.860 0.774
In 0.438 0.082 0.470
S 0.231 0.204 0.763
S 0.035 0.320 0.620
Br 0.658 0.567 0.446
Br 0.612 0.948 0.837
Br 0.880 0.153 0.306
Br 0.074 0.712 0.018


# In2SBr

An optimized crystal structure of In2SBr (PBE, the Alexandria database).

- size of the total moment (μB/cell) = 0.00
- space group = Fm-3m
- calculated total energy (eV per atom) = -3.061
- energy above the lowest structure with this stoichiometry (eV/f.u.) = 1.251
- formation energy from raw total energies (meV/atom) = -241.7

Lattice parameters (Å, degrees): 5.243 5.243 5.243 60.00 60.00 60.00
Atoms (fractional coordinates):
In 0.750 0.750 0.750
In 0.250 0.250 0.250
S 0.000 0.000 0.000
Br 0.500 0.500 0.500


# In2SBr

An optimized crystal structure of In2SBr (PBE, the Alexandria database).

- size of the total moment (μB/cell) = 0.00
- space group = R3m
- calculated total energy (eV per atom) = -3.228
- energy above the lowest structure with this stoichiometry (eV/f.u.) = 0.584
- formation energy from raw total energies (meV/atom) = -408.5

Lattice parameters (Å, degrees): 4.066 4.066 8.232 75.70 75.70 60.00
Atoms (fractional coordinates):
In 0.072 0.072 0.785
In 0.263 0.263 0.212
S 0.674 0.674 0.977
Br 0.491 0.491 0.527


# InS3Br2

An optimized crystal structure of InS3Br2 (PBE, the Alexandria database).

- size of the total moment (μB/cell) = 0.00
- space group = C2/c
- calculated total energy (eV per atom) = -3.335
- formation energy from raw total energies (meV/atom) = -257.2

Lattice parameters (Å, degrees): 17.163 11.799 11.799 36.25 23.79 23.79
Atoms (fractional coordinates):
In 0.500 0.000 0.000
In 0.000 0.000 0.000
Br 0.254 0.109 0.446
Br 0.246 0.554 0.891
Br 0.746 0.891 0.554
Br 0.754 0.446 0.109
S 0.422 0.748 0.783
S 0.750 0.319 0.681
S 0.578 0.252 0.217
S 0.250 0.681 0.319
S 0.078 0.217 0.252
S 0.922 0.783 0.748


# In2SBr

An optimized crystal structure of In2SBr (PBE, the Alexandria database).

- size of the total moment (μB/cell) = 0.00
- space group = P-1
- calculated total energy (eV per atom) = -3.323
- energy above the lowest structure with this stoichiometry (eV/f.u.) = 0.203
- formation energy from raw total energies (meV/atom) = -503.6

Lattice parameters (Å, degrees): 6.022 6.216 9.678 102.73 93.01 118.05
Atoms (fractional coordinates):
In 0.722 0.495 0.043
In 0.878 0.813 0.721
In 0.278 0.505 0.957
In 0.122 0.187 0.279
Br 0.776 0.612 0.334
Br 0.224 0.388 0.666
S 0.151 0.840 0.010
S 0.849 0.160 0.990


# In2SBr

An optimized crystal structure of In2SBr (PBE, the Alexandria database).

- size of the total moment (μB/cell) = 0.00
- space group = C2/m
- calculated total energy (eV per atom) = -3.365
- energy above the lowest structure with this stoichiometry (eV/f.u.) = 0.033
- formation energy from raw total energies (meV/atom) = -546.1

Lattice parameters (Å, degrees): 10.213 4.114 11.727 90.00 99.62 90.00
Atoms (fractional coordinates):
In 0.582 0.000 0.159
In 0.983 0.000 0.878
In 0.983 0.500 0.378
In 0.017 0.500 0.622
In 0.418 0.500 0.341
In 0.017 0.000 0.122
In 0.418 0.000 0.841
In 0.582 0.500 0.659
S 0.138 0.500 0.225
S 0.138 0.000 0.725
S 0.862 0.500 0.775
S 0.862 0.000 0.275
Br 0.300 0.500 0.979
Br 0.700 0.000 0.521
Br 0.300 0.000 0.479
Br 0.700 0.500 0.021


# InSBr2

An optimized crystal structure of InSBr2 (PBE, the Alexandria database).

- size of the total moment (μB/cell) = 2.08
- space group = Fm-3m
- calculated total energy (eV per atom) = -2.270
- energy above the lowest structure with this stoichiometry (eV/f.u.) = 3.549
- formation energy from raw total energies (meV/atom) = 282.7

Lattice parameters (Å, degrees): 5.281 5.281 5.281 60.00 60.00 60.00
Each line ends with the local moment (μB).
Atoms (fractional coordinates):
Br 0.250 0.250 0.250  0.21
Br 0.750 0.750 0.750  0.21
In 0.500 0.500 0.500  0.01
S 0.000 0.000 0.000  0.98


# InS6Br2

An optimized crystal structure of InS6Br2 (PBE, the Alexandria database).

- size of the total moment (μB/cell) = 0.00
- space group = P-1
- calculated total energy (eV per atom) = -3.562
- formation energy from raw total energies (meV/atom) = -134.4

Lattice parameters (Å, degrees): 4.509 8.088 8.111 107.28 91.06 90.95
Atoms (fractional coordinates):
S 0.086 0.475 0.727
S 0.914 0.525 0.273
S 0.916 0.272 0.525
S 0.084 0.728 0.475
S 0.133 0.316 0.316
S 0.867 0.684 0.684
Br 0.500 0.861 0.137
Br 0.500 0.139 0.863
In 0.000 0.000 0.000